A plane-wave DFT calculation with PBE+U was carried out for a geometry-optimized CrAs3F structure.

Cell lengths 4.5540, 4.5540, 4.5540 Å; angles 90.00, 90.00, 90.00 degrees
With the nearest neighbours (Å) after each atom.
Fractional positions:
Cr: 0.0000 0.0000 0.0000  12 As 3.22
As: 0.0000 0.5000 0.5000  2 F 2.28
As: 0.5000 0.0000 0.5000  2 F 2.28
As: 0.5000 0.5000 0.0000  2 F 2.28
F: 0.5000 0.5000 0.5000  6 As 2.28

Summary:
For the theoretical density, the calculation gives 5.20 g cm⁻³. Its total energy is -4.38 eV/atom.